# PBE-GGA Sc4TlCd, relaxed
# Energy above the most stable polymorph in this dataset: 0.3829 eV/atom
# Total moment: 0.00 μB per formula unit
data_Sc4TlCd
_chemical_formula_sum 'Sc16 Tl4 Cd4'
_cell_length_a 8.368
_cell_length_b 8.368
_cell_length_c 8.368
_cell_angle_alpha 90.00
_cell_angle_beta 90.00
_cell_angle_gamma 90.00
_space_group_name_H-M_alt 'F -4 3 m'
_space_group_IT_number 216
_space_group_name_Hall 'F -4 2 3'
loop_
_atom_site_label
_atom_site_type_symbol
_atom_site_fract_x
_atom_site_fract_y
_atom_site_fract_z
Sc1 Sc 0.125 0.125 0.125
Tl1 Tl 0.250 0.250 0.750
Cd1 Cd 0.000 0.000 0.500

# PBE-GGA Sc2Tl2Cd, relaxed
# Energy above the most stable polymorph in this dataset: 0.0000 eV/atom
# Total moment: 0.00 μB per formula unit
data_Sc2Tl2Cd
_chemical_formula_sum 'Sc4 Tl4 Cd2'
_cell_length_a 7.786
_cell_length_b 7.786
_cell_length_c 3.978
_cell_angle_alpha 90.00
_cell_angle_beta 90.00
_cell_angle_gamma 90.00
_space_group_name_H-M_alt 'P 4/m b m'
_space_group_IT_number 127
_space_group_name_Hall '-P 4 2ab'
loop_
_atom_site_label
_atom_site_type_symbol
_atom_site_fract_x
_atom_site_fract_y
_atom_site_fract_z
Sc1 Sc 0.168 0.332 0.000
Tl1 Tl 0.136 0.636 0.500
Cd1 Cd 0.000 0.000 0.500

# PBE-GGA Sc2TlCd, relaxed
# Total moment: 0.00 μB per formula unit
data_Sc2TlCd
_chemical_formula_sum 'Sc6 Tl3 Cd3'
_cell_length_a 3.4114
_cell_length_b 3.4114
_cell_length_c 28.7877
_cell_angle_alpha 90.00
_cell_angle_beta 90.00
_cell_angle_gamma 120.00
_space_group_name_H-M_alt 'R -3 m'
_space_group_IT_number 166
_space_group_name_Hall '-R 3 2"'
loop_
_atom_site_label
_atom_site_type_symbol
_atom_site_fract_x
_atom_site_fract_y
_atom_site_fract_z
Sc1 Sc 0.0000 0.0000 0.2481
Tl1 Tl 0.0000 0.0000 0.0000
Cd1 Cd 0.0000 0.0000 0.5000

# PBE-GGA Sc5Tl6Cd, relaxed
# Total moment: 0.39 μB per formula unit
data_Sc5Tl6Cd
_chemical_formula_sum 'Sc10 Tl12 Cd2'
_cell_length_a 4.689
_cell_length_b 8.517
_cell_length_c 14.261
_cell_angle_alpha 90.00
_cell_angle_beta 90.00
_cell_angle_gamma 90.00
_space_group_name_H-M_alt 'I m m m'
_space_group_IT_number 71
_space_group_name_Hall '-I 2 2'
loop_
_atom_site_label
_atom_site_type_symbol
_atom_site_fract_x
_atom_site_fract_y
_atom_site_fract_z
Sc1 Sc 0.000 0.000 0.000
Sc2 Sc 0.000 0.000 0.353
Sc3 Sc 0.000 0.500 0.327
Tl1 Tl 0.000 0.243 0.171
Tl2 Tl 0.000 0.264 0.500
Cd1 Cd 0.000 0.500 0.000

# PBE-GGA Sc2TlCd, relaxed
# Total moment: 0.00 μB per formula unit
data_Sc2TlCd
_chemical_formula_sum 'Sc2 Tl1 Cd1'
_cell_length_a 3.417
_cell_length_b 4.475
_cell_length_c 6.205
_cell_angle_alpha 90.00
_cell_angle_beta 90.00
_cell_angle_gamma 90.00
_space_group_name_H-M_alt 'P m m 2'
_space_group_IT_number 25
_space_group_name_Hall 'P 2 -2'
loop_
_atom_site_label
_atom_site_type_symbol
_atom_site_fract_x
_atom_site_fract_y
_atom_site_fract_z
Sc1 Sc 0.000 0.000 0.000
Sc2 Sc 0.500 0.500 0.278
Tl1 Tl 0.000 0.000 0.496
Cd1 Cd 0.500 0.500 0.787

# PBE-GGA Sc2TlCd, relaxed
# Total moment: 0.38 μB per formula unit
data_Sc2TlCd
_chemical_formula_sum 'Sc2 Tl1 Cd1'
_cell_length_a 3.553
_cell_length_b 5.052
_cell_length_c 5.051
_cell_angle_alpha 90.00
_cell_angle_beta 90.00
_cell_angle_gamma 90.00
_space_group_name_H-M_alt 'P m m 2'
_space_group_IT_number 25
_space_group_name_Hall 'P 2 -2'
loop_
_atom_site_label
_atom_site_type_symbol
_atom_site_fract_x
_atom_site_fract_y
_atom_site_fract_z
Sc1 Sc 0.000 0.000 0.000
Sc2 Sc 0.000 0.500 0.499
Tl1 Tl 0.500 0.000 0.500
Cd1 Cd 0.500 0.500 0.999

# PBE-GGA Sc4TlCd5, relaxed
# Total moment: 0.08 μB per formula unit
data_Sc4TlCd5
_chemical_formula_sum 'Sc4 Tl1 Cd5'
_cell_length_a 3.599
_cell_length_b 3.599
_cell_length_c 17.651
_cell_angle_alpha 90.00
_cell_angle_beta 90.00
_cell_angle_gamma 90.00
_space_group_name_H-M_alt 'P 4/m m m'
_space_group_IT_number 123
_space_group_name_Hall '-P 4 2'
loop_
_atom_site_label
_atom_site_type_symbol
_atom_site_fract_x
_atom_site_fract_y
_atom_site_fract_z
Sc1 Sc 0.000 0.000 0.098
Sc2 Sc 0.000 0.000 0.294
Tl1 Tl 0.000 0.000 0.500
Cd1 Cd 0.500 0.500 0.000
Cd2 Cd 0.500 0.500 0.193
Cd3 Cd 0.500 0.500 0.388

# PBE-GGA Sc3Tl2Cd3, relaxed
# Total moment: 0.74 μB per formula unit
data_Sc3Tl2Cd3
_chemical_formula_sum 'Sc3 Tl2 Cd3'
_cell_length_a 4.722
_cell_length_b 4.838
_cell_length_c 7.955
_cell_angle_alpha 90.00
_cell_angle_beta 90.00
_cell_angle_gamma 90.00
_space_group_name_H-M_alt 'P m m m'
_space_group_IT_number 47
_space_group_name_Hall '-P 2 2'
loop_
_atom_site_label
_atom_site_type_symbol
_atom_site_fract_x
_atom_site_fract_y
_atom_site_fract_z
Sc1 Sc 0.000 0.000 0.000
Sc2 Sc 0.000 0.000 0.500
Sc3 Sc 0.500 0.500 0.000
Tl1 Tl 0.500 0.000 0.247
Cd1 Cd 0.000 0.500 0.252
Cd2 Cd 0.500 0.500 0.500

# PBE-GGA Sc2TlCd2, relaxed
# Energy above the most stable polymorph in this dataset: 0.1002 eV/atom
# Total moment: 0.00 μB per formula unit
data_Sc2TlCd2
_chemical_formula_sum 'Sc4 Tl2 Cd4'
_cell_length_a 8.133
_cell_length_b 8.133
_cell_length_c 3.695
_cell_angle_alpha 90.00
_cell_angle_beta 90.00
_cell_angle_gamma 90.00
_space_group_name_H-M_alt 'P 4/m b m'
_space_group_IT_number 127
_space_group_name_Hall '-P 4 2ab'
loop_
_atom_site_label
_atom_site_type_symbol
_atom_site_fract_x
_atom_site_fract_y
_atom_site_fract_z
Sc1 Sc 0.152 0.348 0.000
Tl1 Tl 0.000 0.000 0.000
Cd1 Cd 0.145 0.645 0.500

# PBE-GGA Sc6Tl3Cd, relaxed
# Total moment: 1.77 μB per formula unit
data_Sc6Tl3Cd
_chemical_formula_sum 'Sc12 Tl6 Cd2'
_cell_length_a 8.774
_cell_length_b 5.104
_cell_length_c 10.968
_cell_angle_alpha 90.00
_cell_angle_beta 108.66
_cell_angle_gamma 90.00
_space_group_name_H-M_alt 'P 1 21/m 1'
_space_group_IT_number 11
_space_group_name_Hall '-P 2yb'
loop_
_atom_site_label
_atom_site_type_symbol
_atom_site_fract_x
_atom_site_fract_y
_atom_site_fract_z
Sc1 Sc 0.047 0.250 0.415
Sc2 Sc 0.164 0.750 0.184
Sc3 Sc 0.256 0.250 0.006
Sc4 Sc 0.346 0.750 0.797
Sc5 Sc 0.358 0.250 0.323
Sc6 Sc 0.417 0.250 0.620
Tl1 Tl 0.032 0.750 0.885
Tl2 Tl 0.134 0.250 0.713
Tl3 Tl 0.282 0.750 0.478
Cd1 Cd 0.454 0.750 0.098

# PBE-GGA Sc3Tl2Cd4, relaxed
# Total moment: 0.01 μB per formula unit
data_Sc3Tl2Cd4
_chemical_formula_sum 'Sc6 Tl4 Cd8'
_cell_length_a 10.758
_cell_length_b 4.893
_cell_length_c 9.119
_cell_angle_alpha 90.00
_cell_angle_beta 121.17
_cell_angle_gamma 90.00
_space_group_name_H-M_alt 'C 1 2/m 1'
_space_group_IT_number 12
_space_group_name_Hall '-C 2y'
loop_
_atom_site_label
_atom_site_type_symbol
_atom_site_fract_x
_atom_site_fract_y
_atom_site_fract_z
Sc1 Sc 0.000 0.000 0.000
Sc2 Sc 0.168 0.500 0.667
Tl1 Tl 0.112 0.500 0.276
Cd1 Cd 0.051 0.000 0.389
Cd2 Cd 0.225 0.500 0.051

# PBE-GGA Sc4TlCd, relaxed
# Energy above the most stable polymorph in this dataset: 0.0000 eV/atom
# Total moment: 1.60 μB per formula unit
data_Sc4TlCd
_chemical_formula_sum 'Sc8 Tl2 Cd2'
_cell_length_a 13.320
_cell_length_b 3.301
_cell_length_c 6.609
_cell_angle_alpha 90.00
_cell_angle_beta 104.36
_cell_angle_gamma 90.00
_space_group_name_H-M_alt 'C 1 2/m 1'
_space_group_IT_number 12
_space_group_name_Hall '-C 2y'
loop_
_atom_site_label
_atom_site_type_symbol
_atom_site_fract_x
_atom_site_fract_y
_atom_site_fract_z
Sc1 Sc 0.163 0.000 0.330
Sc2 Sc 0.163 0.000 0.834
Tl1 Tl 0.000 0.500 0.500
Cd1 Cd 0.000 0.500 0.000

| no. | formation energy from the elements (meV/atom) | electronic total energy (eV per atom) | volume (Å³/atom) |
| --- | --- | --- | --- |
| 1 | 183 | -4.58 | 24.4 |
| 2 | -149 | -3.81 | 24.1 |
| 3 | -159 | -4.15 | 24.2 |
| 4 | -201 | -4.10 | 23.7 |
| 5 | -128 | -4.11 | 23.7 |
| 6 | -287 | -4.27 | 22.7 |
| 7 | -208 | -3.43 | 22.9 |
| 8 | -210 | -3.52 | 22.7 |
| 9 | -71 | -3.44 | 24.4 |
| 10 | -227 | -4.83 | 23.3 |
| 11 | -182 | -3.22 | 22.8 |
| 12 | -200 | -4.97 | 23.5 |